The following is a SCAN calculation of Li2OsRh at its PBEsol-relaxed geometry, from Alexandria.

Summary:
**Space group**: P4/mmm, No. 123
**Calculated formation energy**: 14 kJ/mol of atoms
**Size of the total moment**: 0.001 μB per atom

Geometry as POSCAR:
```
Li2OsRh
1.0
2.5060 0.0000 0.0000
0.0000 2.5060 0.0000
0.0000 0.0000 8.5046
Os Rh Li
1 1 2
direct
0.5000 0.5000 0.0000
0.5000 0.5000 0.5000
0.0000 0.0000 0.7450
0.0000 0.0000 0.2550
```

---

The following is a SCAN calculation of Li2OsRh at its PBEsol-relaxed geometry, from Alexandria.

Summary:
**Space group**: F-43m, No. 216
**Calculated formation energy**: 6 kJ/mol of atoms
**Size of the total moment**: 0.000 μB per atom

Geometry as POSCAR:
```
Li2OsRh
1.0
4.1428 0.0000 0.0000
2.0714 3.5878 0.0000
2.0714 1.1959 3.3826
Os Li Rh
1 2 1
direct
0.5000 0.5000 0.5000
0.2500 0.2500 0.2500
0.0000 0.0000 0.0000
0.7500 0.7500 0.7500
```

---

The following is a SCAN calculation of Li2OsRh at its PBEsol-relaxed geometry, from Alexandria.

Summary:
**Space group**: P4/mmm, No. 123
**Calculated formation energy**: 33 kJ/mol of atoms
**Size of the total moment**: 0.197 μB per atom

Geometry as POSCAR:
```
Li2OsRh
1.0
2.5117 0.0000 0.0000
0.0000 4.4015 0.0000
0.0000 0.0000 4.4015
Li Rh Os
2 1 1
direct
0.0000 0.5000 0.0000
0.0000 0.0000 0.5000
0.5000 0.0000 0.0000
0.5000 0.5000 0.5000
```

---

The following is a SCAN calculation of LiOs2Rh at its PBEsol-relaxed geometry, from Alexandria.

Summary:
**Space group**: Fm-3m, No. 225
**Calculated formation energy**: 50 kJ/mol of atoms
**Size of the total moment**: 0.311 μB per atom

Geometry as POSCAR:
```
LiOs2Rh
1.0
-2.0482 3.6306 0.5358
-3.4557 0.8150 -2.2488
-3.7642 0.0332 1.8691
Os Li Rh
2 1 1
direct
0.2500 0.2500 0.2500
0.7500 0.7500 0.7500
0.0000 0.0000 0.0000
0.5000 0.5000 0.5000
```